Entry from the Alexandria database: an optimized crystal structure of UP2IrPt2 (GGA-PBE).

Results
calculated volume	201.3	Å³ per cell
total DFT energy (no corrections)	-7.735	eV per atom
energy of formation	-3.361	eV/f.u.

Cell lengths 4.2555, 7.1155, 6.6477 Å; angles 90.00, 90.00, 90.00 degrees
Fractional positions:
P 0.5000 0.8082 0.6474
Ir 0.5000 0.6922 0.3123
P 0.0000 0.6563 0.1812
Pt 0.0000 0.3402 0.1040
Ir 0.5000 0.1922 0.6877
Pt 0.5000 0.5508 0.8881
U 0.0000 0.4979 0.5841
P 0.0000 0.1563 0.8188
Pt 0.0000 0.8402 0.8960
P 0.5000 0.3082 0.3526
U 0.0000 0.9979 0.4159
Pt 0.5000 0.0508 0.1119



Entry from the Alexandria database: an optimized crystal structure of PuP2Ir4 (GGA-PBE).

Results
calculated volume	219.2	Å³ per cell
total DFT energy (no corrections)	-9.209	eV per atom
energy of formation	-3.871	eV/f.u.

Cell lengths 3.8020, 7.5924, 7.5924 Å; angles 90.00, 90.00, 90.00 degrees
Fractional positions:
Pu 0.0000 0.5000 0.5000
Ir 0.0000 0.0743 0.3275
Pu 0.5000 0.0000 0.0000
Ir 0.0000 0.6725 0.9257
Ir 0.5000 0.5743 0.1725
Ir 0.5000 0.8275 0.4257
Ir 0.0000 0.3275 0.0743
Ir 0.0000 0.9257 0.6725
Ir 0.5000 0.1725 0.5743
P 0.0000 0.7711 0.2289
P 0.5000 0.7289 0.7289
P 0.5000 0.2711 0.2711
Ir 0.5000 0.4257 0.8275
P 0.0000 0.2289 0.7711



Entry from the Alexandria database: an optimized crystal structure of Pu3P4Ir2 (GGA-PBE).

Results
calculated volume	168.1	Å³ per cell
total DFT energy (no corrections)	-9.993	eV per atom
energy of formation	-7.577	eV/f.u.

Cell lengths 4.1368, 5.6279, 7.8965 Å; angles 99.70, 90.00, 111.56 degrees
Fractional positions:
P 0.0505 0.1010 0.3834
P 0.9495 0.8990 0.6166
P 0.2788 0.5576 0.9443
Pu 0.6669 0.3339 0.6761
Pu 0.3331 0.6661 0.3239
Ir 0.6131 0.2263 0.2886
Pu 0.0000 0.0000 0.0000
Ir 0.3869 0.7737 0.7114
P 0.7212 0.4424 0.0557



Entry from the Alexandria database: an optimized crystal structure of Pu2P3Ir (GGA-PBE).

Results
calculated volume	225.7	Å³ per cell
total DFT energy (no corrections)	-9.737	eV per atom
energy of formation	-4.668	eV/f.u.

Cell lengths 5.5529, 5.5553, 8.3210 Å; angles 109.85, 109.84, 89.02 degrees
Fractional positions:
P 0.1394 0.6805 0.8199
Pu 0.7500 0.2500 0.5000
P 0.3195 0.8606 0.1801
P 0.6805 0.1394 0.8199
P 0.1871 0.1871 0.3742
Pu 0.7631 0.7634 0.0000
P 0.8129 0.8129 0.6258
Pu 0.2369 0.2366 0.0000
Ir 0.3467 0.3467 0.6934
Pu 0.2500 0.7500 0.5000
Ir 0.6533 0.6533 0.3066
P 0.8606 0.3195 0.1801



Entry from the Alexandria database: an optimized crystal structure of Pu2P7Ir12 (GGA-PBE).

Results
calculated volume	319.8	Å³ per cell
total DFT energy (no corrections)	-8.769	eV per atom
energy of formation	-11.279	eV/f.u.

Cell lengths 3.9507, 9.6682, 9.6682 Å; angles 120.00, 90.00, 90.00 degrees
Fractional positions:
Pu 0.0000 0.6667 0.3333
Ir 0.0000 0.0668 0.5621
P 0.0000 0.3333 0.6667
P 0.0000 0.7443 0.9481
Ir 0.5000 0.1746 0.3934
Ir 0.0000 0.4379 0.5047
Ir 0.5000 0.7163 0.1206
Ir 0.0000 0.7845 0.7291
P 0.0000 0.0519 0.7961
Ir 0.5000 0.8794 0.5957
P 0.5000 0.9264 0.3815
P 0.5000 0.4552 0.0736
Ir 0.5000 0.6066 0.7812
Pu 0.5000 0.0000 0.0000
Ir 0.0000 0.2709 0.0554
P 0.0000 0.2039 0.2557
Ir 0.0000 0.9446 0.2155
Ir 0.5000 0.2188 0.8254
Ir 0.0000 0.4953 0.9332
P 0.5000 0.6185 0.5448
Ir 0.5000 0.4043 0.2837



Entry from the Alexandria database: an optimized crystal structure of Pu2PIr (GGA-PBE).

Results
calculated volume	77.7	Å³ per cell
total DFT energy (no corrections)	-11.409	eV per atom
energy of formation	-2.701	eV/f.u.

Cell lengths 3.6688, 3.6688, 5.7717 Å; angles 90.00, 90.00, 90.00 degrees
Fractional positions:
Ir 0.5000 0.5000 0.5000
P 0.5000 0.5000 0.0000
Pu 0.0000 0.0000 0.2442
Pu 0.0000 0.0000 0.7558



Which formula does entry 4 have?
Pu2P3Ir